Entry 1:
Entry from the Alexandria database: a relaxed structure of Rb2In6Ag3 (PBE-GGA).

Output
calculated volume = 29.4 A^3/atom
energy of formation from the pure elements = -50.8 kJ/mol of formula units
DOS at the Fermi energy = 3.166 states/eV/cell

a = 8.782 Å, b = 8.782 Å, c = 4.849 Å
α = 90.00°, β = 90.00°, γ = 120.00°
Atoms (fractional coordinates):
Rb 0.333 0.667 0.000
Rb 0.667 0.333 0.000
In 0.000 0.199 0.000
In 0.000 0.701 0.500
In 0.199 0.000 0.000
In 0.299 0.299 0.500
In 0.701 0.000 0.500
In 0.801 0.801 0.000
Ag 0.000 0.370 0.500
Ag 0.370 0.000 0.500
Ag 0.630 0.630 0.500

---

Entry 2:
Entry from the Alexandria database: a relaxed structure of Rb2In5Ag4 (PBE-GGA).

Output
calculated volume = 30.4 A^3/atom
energy of formation from the pure elements = 22.9 kJ/mol of formula units
DOS at the Fermi energy = 5.255 states/eV/cell

a = 7.911 Å, b = 7.911 Å, c = 9.300 Å
α = 124.89°, β = 124.89°, γ = 47.27°
Atoms (fractional coordinates):
Rb 0.221 0.221 0.290
Rb 0.779 0.779 0.710
In 0.211 0.708 0.249
In 0.292 0.789 0.751
In 0.500 0.500 0.000
In 0.708 0.211 0.249
In 0.789 0.292 0.751
Ag 0.121 0.121 0.567
Ag 0.265 0.265 0.948
Ag 0.735 0.735 0.052
Ag 0.879 0.879 0.433

---

Entry 3:
Entry from the Alexandria database: a relaxed structure of RbInAg2 (PBE-GGA).

Output
calculated volume = 33.3 A^3/atom
energy of formation from the pure elements = -20.2 kJ/mol of formula units
DOS at the Fermi energy = 2.102 states/eV/cell

a = 6.977 Å, b = 6.977 Å, c = 6.977 Å
α = 41.19°, β = 41.19°, γ = 41.19°
Atoms (fractional coordinates):
Rb 0.000 0.000 0.000
In 0.500 0.500 0.500
Ag 0.181 0.181 0.181
Ag 0.819 0.819 0.819

---

Entry 4:
Entry from the Alexandria database: a relaxed structure of RbIn6Ag2 (PBE-GGA).

Output
calculated volume = 34.2 A^3/atom
energy of formation from the pure elements = 170.1 kJ/mol of formula units
DOS at the Fermi energy = 5.148 states/eV/cell

a = 9.549 Å, b = 9.549 Å, c = 9.549 Å
α = 60.00°, β = 60.00°, γ = 60.00°
Atoms (fractional coordinates):
Rb 0.125 0.125 0.125
Rb 0.875 0.875 0.875
In 0.138 0.138 0.612
In 0.138 0.612 0.138
In 0.138 0.612 0.612
In 0.388 0.388 0.862
In 0.388 0.862 0.388
In 0.388 0.862 0.862
In 0.612 0.138 0.138
In 0.612 0.138 0.612
In 0.612 0.612 0.138
In 0.862 0.388 0.388
In 0.862 0.388 0.862
In 0.862 0.862 0.388
Ag 0.000 0.500 0.500
Ag 0.500 0.000 0.500
Ag 0.500 0.500 0.000
Ag 0.500 0.500 0.500

---

Entry 5:
Entry from the Alexandria database: a relaxed structure of Rb3In4Ag4 (PBE-GGA).

Output
calculated volume = 32.2 A^3/atom
energy of formation from the pure elements = -59.9 kJ/mol of formula units
DOS at the Fermi energy = 3.575 states/eV/cell

a = 7.724 Å, b = 7.724 Å, c = 7.724 Å
α = 109.47°, β = 109.47°, γ = 109.47°
Atoms (fractional coordinates):
Rb 0.000 0.500 0.500
Rb 0.500 0.000 0.500
Rb 0.500 0.500 0.000
In 0.000 0.000 0.261
In 0.000 0.261 0.000
In 0.261 0.000 0.000
In 0.739 0.739 0.739
Ag 0.000 0.000 0.623
Ag 0.000 0.623 0.000
Ag 0.377 0.377 0.377
Ag 0.623 0.000 0.000

---

Entry 6:
Entry from the Alexandria database: a relaxed structure of Rb3In5Ag6 (PBE-GGA).

Output
calculated volume = 30.3 A^3/atom
energy of formation from the pure elements = -47.8 kJ/mol of formula units
DOS at the Fermi energy = 11.974 states/eV/cell

a = 4.817 Å, b = 14.399 Å, c = 12.247 Å
α = 90.00°, β = 90.00°, γ = 90.00°
Atoms (fractional coordinates):
Rb 0.250 0.034 0.240
Rb 0.250 0.466 0.240
Rb 0.250 0.750 0.280
Rb 0.750 0.250 0.720
Rb 0.750 0.534 0.760
Rb 0.750 0.966 0.760
In 0.250 0.068 0.541
In 0.250 0.432 0.541
In 0.250 0.645 0.970
In 0.250 0.750 0.745
In 0.250 0.855 0.970
In 0.750 0.145 0.030
In 0.750 0.250 0.255
In 0.750 0.355 0.030
In 0.750 0.568 0.459
In 0.750 0.932 0.459
Ag 0.250 0.053 0.964
Ag 0.250 0.250 0.424
Ag 0.250 0.250 0.975
Ag 0.250 0.447 0.964
Ag 0.250 0.636 0.555
Ag 0.250 0.864 0.555
Ag 0.750 0.136 0.445
Ag 0.750 0.364 0.445
Ag 0.750 0.553 0.036
Ag 0.750 0.750 0.025
Ag 0.750 0.750 0.576
Ag 0.750 0.947 0.036

---

Entry 7:
Entry from the Alexandria database: a relaxed structure of RbInAg2 (PBE-GGA).

Output
calculated volume = 33.7 A^3/atom
energy of formation from the pure elements = -9.5 kJ/mol of formula units
DOS at the Fermi energy = 2.705 states/eV/cell

a = 7.167 Å, b = 7.167 Å, c = 8.152 Å
α = 90.00°, β = 90.00°, γ = 139.93°
Atoms (fractional coordinates):
Rb 0.045 0.955 0.750
Rb 0.955 0.045 0.250
In 0.322 0.678 0.750
In 0.678 0.322 0.250
Ag 0.235 0.765 0.080
Ag 0.235 0.765 0.420
Ag 0.765 0.235 0.580
Ag 0.765 0.235 0.920

---

Entry 8:
Entry from the Alexandria database: a relaxed structure of RbIn6Ag3 (PBE-GGA).

Output
calculated volume = 26.0 A^3/atom
energy of formation from the pure elements = 0.9 kJ/mol of formula units
DOS at the Fermi energy = 7.162 states/eV/cell

a = 8.114 Å, b = 7.511 Å, c = 9.688 Å
α = 90.00°, β = 118.46°, γ = 90.00°
Atoms (fractional coordinates):
Rb 0.000 0.000 0.000
Rb 0.000 0.500 0.500
In 0.134 0.031 0.679
In 0.134 0.469 0.179
In 0.284 0.676 0.878
In 0.284 0.824 0.378
In 0.465 0.177 0.267
In 0.465 0.323 0.767
In 0.535 0.677 0.233
In 0.535 0.823 0.733
In 0.716 0.176 0.622
In 0.716 0.324 0.122
In 0.866 0.531 0.821
In 0.866 0.969 0.321
Ag 0.242 0.185 0.436
Ag 0.242 0.315 0.936
Ag 0.500 0.000 0.000
Ag 0.500 0.500 0.500
Ag 0.758 0.685 0.064
Ag 0.758 0.815 0.564